VASP calculation (PBE-GGA) on Tm2MgC after structural relaxation. Values from VASP.

Geometry as Quantum ESPRESSO input:
```
&SYSTEM
  ibrav = 0, nat = 4, ntyp = 3
/
ATOMIC_SPECIES
Tm 168.93 Tm.upf
Mg 24.30 Mg.upf
C 12.01 C.upf
CELL_PARAMETERS angstrom
1.753 1.012 8.498
-1.753 1.012 8.498
0.000 -2.024 8.498
ATOMIC_POSITIONS crystal
Tm 0.219 0.219 0.219
Tm 0.781 0.781 0.781
Mg 0.000 0.000 0.000
C 0.500 0.500 0.500
```

Calculated values
* total magnetic moment: 0.0 μB per formula unit
* D(E_F): 0.866 states/eV per atom
* electronic total energy: -20.79 eV/cell



VASP calculation (PBE-GGA) on Tm2Mg2C after structural relaxation. Values from VASP.

Geometry as Quantum ESPRESSO input:
```
&SYSTEM
  ibrav = 0, nat = 5, ntyp = 3
/
ATOMIC_SPECIES
Tm 168.93 Tm.upf
Mg 24.30 Mg.upf
C 12.01 C.upf
CELL_PARAMETERS angstrom
1.737 1.003 10.922
-1.737 1.003 10.922
0.000 -2.006 10.922
ATOMIC_POSITIONS crystal
Tm 0.126 0.126 0.126
Tm 0.874 0.874 0.874
Mg 0.372 0.372 0.372
Mg 0.628 0.628 0.628
C 0.500 0.500 0.500
```

Calculated values
* total magnetic moment: 0.0 μB per formula unit
* D(E_F): 0.591 states/eV per atom
* electronic total energy: -22.36 eV/cell



VASP calculation (PBE-GGA) on Tm2MgC after structural relaxation. Values from VASP.

Geometry as Quantum ESPRESSO input:
```
&SYSTEM
  ibrav = 0, nat = 4, ntyp = 3
/
ATOMIC_SPECIES
Tm 168.93 Tm.upf
Mg 24.30 Mg.upf
C 12.01 C.upf
CELL_PARAMETERS angstrom
3.469 0.000 0.000
-1.734 3.004 0.000
0.000 0.000 8.587
ATOMIC_POSITIONS crystal
Tm 0.000 0.000 0.165
Tm 0.000 0.000 0.835
Mg 0.333 0.667 0.500
C 0.667 0.333 0.000
```

Calculated values
* total magnetic moment: 0.0 μB per formula unit
* D(E_F): 0.802 states/eV per atom
* electronic total energy: -19.80 eV/cell